The following is a PBE calculation of Rb2InGe after structural relaxation, from Alexandria via LeMat-Bulk.

Cell lengths 8.573, 8.573, 8.573 Å; angles 90.00, 90.00, 90.00 degrees
Space group Fm-3m (No. 225)
Inequivalent atoms, fractional coordinates:
Rb 0.250 0.250 0.250 [8 per cell]
In 0.000 0.000 0.000 [4 per cell]
Ge 0.000 0.000 0.500 [4 per cell]

Output
- Distance to the lowest polymorph of the same formula: 327.8 meV per atom
- Energy of formation: 0.294 eV/atom



The following is a PBE calculation of RbCaCr2Cl8 after structural relaxation, from Alexandria via LeMat-Bulk.

Cell lengths 6.7486, 6.7486, 9.4097 Å; angles 90.00, 90.00, 120.00 degrees
Space group P-3 (No. 147)
Inequivalent atoms, fractional coordinates:
Rb 0.0000 0.0000 0.0000 [1 per cell]
Ca 0.0000 0.0000 0.5000 [1 per cell]
Cr 0.3333 0.6667 0.7316 [2 per cell]
Cl 0.0042 0.3242 0.6796 [6 per cell]
Cl 0.3333 0.6667 0.9657 [2 per cell]

Output
- Formation energy (no corrections): -1.397 eV per atom